# TlSn2Hg2, relaxed, DFT GGA-PBE
data_TlSn2Hg2
_cell_length_a 9.120
_cell_length_b 9.120
_cell_length_c 3.382
_cell_angle_alpha 90.00
_cell_angle_beta 90.00
_cell_angle_gamma 90.00
_space_group_name_H-M_alt 'P 4/m b m'
_space_group_IT_number 127
_space_group_name_Hall '-P 4 2ab'
loop_
_atom_site_label
_atom_site_type_symbol
_atom_site_fract_x
_atom_site_fract_y
_atom_site_fract_z
_atom_site_occupancy
Tl1 Tl 0.000 0.000 0.000 1
Sn1 Sn 0.138 0.362 0.500 1
Hg1 Hg 0.160 0.660 0.000 1
# - Energy relative to the elements: 66 meV per atom
# - Total moment: 0.00 μB per formula unit
# - Polymorph energy (0 for the lowest one): 1.8 kJ per mole of atoms
# - Electronic total energy: -21.293 eV for the cell shown


# Ac4MgPb3, relaxed, DFT GGA-PBE
data_Ac4MgPb3
_cell_length_a 8.315
_cell_length_b 8.313
_cell_length_c 9.269
_cell_angle_alpha 90.00
_cell_angle_beta 116.59
_cell_angle_gamma 90.00
_space_group_name_H-M_alt 'C 1 2/m 1'
_space_group_IT_number 12
loop_
_space_group_symop_operation_xyz
'x,y,z'
'-x,-y,-z'
'-x,y,-z'
'x,-y,z'
'x+1/2,y+1/2,z'
'-x+1/2,-y+1/2,-z'
'-x+1/2,y+1/2,-z'
'x+1/2,-y+1/2,z'
loop_
_atom_site_label
_atom_site_type_symbol
_atom_site_fract_x
_atom_site_fract_y
_atom_site_fract_z
_atom_site_occupancy
Ac1 Ac 0.126 0.250 0.251 1
Mg1 Mg 0.000 0.000 0.500 1
Pb1 Pb 0.000 0.500 0.500 1
Pb2 Pb 0.241 0.000 0.984 1
# - Energy relative to the elements: -383 meV per atom
# - Total moment: 0.00 μB per formula unit
# - Polymorph energy (0 for the lowest one): 3.2 kJ per mole of atoms
# - Electronic total energy: -64.440 eV for the cell shown


# AgRh2, relaxed, DFT GGA-PBE
data_AgRh2
_cell_length_a 4.5098
_cell_length_b 4.5098
_cell_length_c 5.3540
_cell_angle_alpha 90.00
_cell_angle_beta 90.00
_cell_angle_gamma 120.00
_space_group_name_H-M_alt 'P 63/m m c'
_space_group_IT_number 194
_space_group_name_Hall '-P 6c 2c'
loop_
_atom_site_label
_atom_site_type_symbol
_atom_site_fract_x
_atom_site_fract_y
_atom_site_fract_z
_atom_site_occupancy
Ag1 Ag 0.3333 0.6667 0.2500 1
Rh1 Rh 0.0000 0.0000 0.0000 1
Rh2 Rh 0.3333 0.6667 0.7500 1
# - Energy relative to the elements: 510 meV per atom
# - Total moment: 1.54 μB per formula unit
# - Polymorph energy (0 for the lowest one): 33.8 kJ per mole of atoms
# - Electronic total energy: -32.049 eV for the cell shown


# TbY2Ho2, relaxed, DFT GGA-PBE
data_TbY2Ho2
_cell_length_a 14.550
_cell_length_b 7.131
_cell_length_c 6.174
_cell_angle_alpha 90.00
_cell_angle_beta 98.12
_cell_angle_gamma 90.00
_space_group_name_H-M_alt 'P 1 21/c 1'
_space_group_IT_number 14
loop_
_space_group_symop_operation_xyz
'x,y,z'
'-x,-y,-z'
'-x,y+1/2,-z+1/2'
'x,-y+1/2,z+1/2'
loop_
_atom_site_label
_atom_site_type_symbol
_atom_site_fract_x
_atom_site_fract_y
_atom_site_fract_z
_atom_site_occupancy
Tb1 Tb 0.199 0.125 0.150 1
Y1 Y 0.199 0.625 0.147 1
Y2 Y 0.399 0.125 0.883 1
Ho1 Ho 0.001 0.125 0.751 1
Ho2 Ho 0.399 0.625 0.883 1
# - Energy relative to the elements: 10 meV per atom
# - Total moment: 0.00 μB per formula unit
# - Polymorph energy (0 for the lowest one): 0.0 kJ per mole of atoms
# - Electronic total energy: -106.652 eV for the cell shown


# AgTe2Ru, relaxed, DFT GGA-PBE
data_AgTe2Ru
_cell_length_a 4.882
_cell_length_b 4.882
_cell_length_c 3.461
_cell_angle_alpha 90.00
_cell_angle_beta 90.00
_cell_angle_gamma 90.00
_space_group_name_H-M_alt 'P 4/m m m'
_space_group_IT_number 123
_space_group_name_Hall '-P 4 2'
loop_
_atom_site_label
_atom_site_type_symbol
_atom_site_fract_x
_atom_site_fract_y
_atom_site_fract_z
_atom_site_occupancy
Ag1 Ag 0.000 0.000 0.000 1
Te1 Te 0.000 0.500 0.500 1
Ru1 Ru 0.500 0.500 0.000 1
# - Total moment: 0.00 μB per formula unit
# - Polymorph energy (0 for the lowest one): 40.4 kJ per mole of atoms
# - Electronic total energy: -16.709 eV for the cell shown


# LaDy7Er4, relaxed, DFT GGA-PBE
data_LaDy7Er4
_cell_length_a 12.045
_cell_length_b 5.872
_cell_length_c 12.573
_cell_angle_alpha 90.00
_cell_angle_beta 117.90
_cell_angle_gamma 90.00
_space_group_name_H-M_alt 'C 1 2/m 1'
_space_group_IT_number 12
loop_
_space_group_symop_operation_xyz
'x,y,z'
'-x,-y,-z'
'-x,y,-z'
'x,-y,z'
'x+1/2,y+1/2,z'
'-x+1/2,-y+1/2,-z'
'-x+1/2,y+1/2,-z'
'x+1/2,-y+1/2,z'
loop_
_atom_site_label
_atom_site_type_symbol
_atom_site_fract_x
_atom_site_fract_y
_atom_site_fract_z
_atom_site_occupancy
La1 La 0.000 0.000 0.000 1
Dy1 Dy 0.000 0.500 0.000 1
Dy2 Dy 0.057 0.000 0.335 1
Dy3 Dy 0.135 0.500 0.505 1
Dy4 Dy 0.210 0.000 0.921 1
Er1 Er 0.129 0.500 0.774 1
Er2 Er 0.246 0.500 0.314 1
# - Energy relative to the elements: 273 meV per atom
# - Total moment: 0.00 μB per formula unit
# - Electronic total energy: -104.242 eV for the cell shown


# Rb2TlRh2, relaxed, DFT GGA-PBE
data_Rb2TlRh2
_cell_length_a 9.828
_cell_length_b 9.828
_cell_length_c 2.987
_cell_angle_alpha 90.00
_cell_angle_beta 90.00
_cell_angle_gamma 90.00
_space_group_name_H-M_alt 'P 4/m b m'
_space_group_IT_number 127
_space_group_name_Hall '-P 4 2ab'
loop_
_atom_site_label
_atom_site_type_symbol
_atom_site_fract_x
_atom_site_fract_y
_atom_site_fract_z
_atom_site_occupancy
Rb1 Rb 0.125 0.375 0.000 1
Tl1 Tl 0.000 0.000 0.000 1
Rh1 Rh 0.178 0.678 0.500 1
# - Energy relative to the elements: 981 meV per atom
# - Total moment: 1.49 μB per formula unit
# - Polymorph energy (0 for the lowest one): 53.7 kJ per mole of atoms
# - Electronic total energy: -28.200 eV for the cell shown


# Tb2Pm3Tm5, relaxed, DFT GGA-PBE
data_Tb2Pm3Tm5
_cell_length_a 12.831
_cell_length_b 16.795
_cell_length_c 6.273
_cell_angle_alpha 90.00
_cell_angle_beta 90.00
_cell_angle_gamma 90.00
_space_group_name_H-M_alt 'I b a m'
_space_group_IT_number 72
_space_group_name_Hall '-I 2 2c'
loop_
_atom_site_label
_atom_site_type_symbol
_atom_site_fract_x
_atom_site_fract_y
_atom_site_fract_z
_atom_site_occupancy
Tb1 Tb 0.105 0.156 0.000 1
Pm1 Pm 0.000 0.000 0.250 1
Pm2 Pm 0.157 0.246 0.500 1
Tm1 Tm 0.000 0.500 0.250 1
Tm2 Tm 0.098 0.345 0.000 1
Tm3 Tm 0.246 0.500 0.250 1
# - Energy relative to the elements: 341 meV per atom
# - Total moment: 0.00 μB per formula unit
# - Polymorph energy (0 for the lowest one): 14.3 kJ per mole of atoms
# - Electronic total energy: -169.830 eV for the cell shown